The following is a DFT calculation (PBE) of a relaxed structure of Y2TlVC.

a b c (Å): 5.017 5.017 4.096
angles (deg): 90.00 90.00 90.00
Space group P4/mmm (No. 123)
Unique sites:
1 Y 0.000 0.500 0.000
2 Tl 0.000 0.000 0.500
3 V 0.500 0.500 0.500
4 C 0.500 0.500 0.000

Results
energy of formation: -319 meV per atom
magnetization: 1.97 μB per formula unit